No. 1
Here is an optimized crystal structure of TaPb from Alexandria via LeMat-Bulk. Energies are from PBEsol.

**Raw total energy**: -7.6516 eV/atom
**Energy of formation**: 0.6232 eV per atom
**Space-group type**: Cmmm

Cell and atoms, written as POSCAR:
```
TaPb
1.0
1.7499 -2.5500 0.0000
1.7499 2.5500 0.0000
0.0000 0.0000 4.6699
Ta Pb
1 1
Direct
0.0000 0.0000 0.0000 Ta
0.5000 0.5000 0.5000 Pb
```

***

No. 2
Here is an optimized crystal structure of TaPb from Alexandria via LeMat-Bulk. Energies are from PBEsol.

**Raw total energy**: -7.7640 eV/atom
**Energy of formation**: 0.5108 eV per atom
**Space-group type**: P2_1/m

Cell and atoms, written as POSCAR:
```
TaPb
1.0
3.1183 0.0000 0.0000
0.0000 4.8201 0.0000
-1.3792 0.0000 5.6707
Ta Pb
2 2
Direct
0.1603 0.2500 0.1213 Ta
0.8397 0.7500 0.8787 Ta
0.3251 0.2500 0.6587 Pb
0.6749 0.7500 0.3413 Pb
```

***

No. 3
Here is an optimized crystal structure of Ta2Pb from Alexandria via LeMat-Bulk. Energies are from PBEsol.

**Raw total energy**: -9.0038 eV/atom
**Energy of formation**: 0.6965 eV per atom
**Space-group type**: I4/mcm

Cell and atoms, written as POSCAR:
```
Ta2Pb
1.0
-3.2254 3.2254 2.8993
3.2254 -3.2254 2.8993
3.2254 3.2254 -2.8993
Ta Pb
4 2
Direct
0.1420 0.6420 0.7840 Ta
0.3580 0.1420 0.5000 Ta
0.6420 0.8580 0.5000 Ta
0.8580 0.3580 0.2160 Ta
0.2500 0.2500 0.0000 Pb
0.7500 0.7500 0.0000 Pb
```

***

No. 4
Here is an optimized crystal structure of Ta3Pb from Alexandria via LeMat-Bulk. Energies are from PBEsol.

**Raw total energy**: -9.9761 eV/atom
**Energy of formation**: 0.4368 eV per atom
**Space-group type**: R-3m

Cell and atoms, written as POSCAR:
```
Ta3Pb
1.0
1.5933 0.9199 8.9823
-1.5933 0.9199 8.9823
0.0000 -1.8398 8.9823
Ta Pb
3 1
Direct
0.0000 0.0000 0.0000 Ta
0.2570 0.2570 0.2570 Ta
0.7430 0.7430 0.7430 Ta
0.5000 0.5000 0.5000 Pb
```

***

No. 5
Here is an optimized crystal structure of TaTcPb2 from Alexandria via LeMat-Bulk. Energies are from PBEsol.

**Raw total energy**: -7.1927 eV/atom
**Energy of formation**: 0.7610 eV per atom
**Space-group type**: I-4m2

Cell and atoms, written as POSCAR:
```
TaTcPb2
1.0
-2.1049 2.1049 4.4351
2.1049 -2.1049 4.4351
2.1049 2.1049 -4.4351
Ta Tc Pb
1 1 2
Direct
0.0000 0.0000 0.0000 Ta
0.7500 0.2500 0.5000 Tc
0.2500 0.7500 0.5000 Pb
0.5000 0.5000 0.0000 Pb
```

***

No. 6
Here is an optimized crystal structure of Ta2TcPb from Alexandria via LeMat-Bulk. Energies are from PBEsol.

**Raw total energy**: -9.7315 eV/atom
**Energy of formation**: 0.3602 eV per atom
**Space-group type**: Cmmm

Cell and atoms, written as POSCAR:
```
Ta2TcPb
1.0
2.8478 -3.9185 0.0000
2.8478 3.9185 0.0000
0.0000 0.0000 3.1900
Ta Tc Pb
2 1 1
Direct
0.0000 0.5000 0.0000 Ta
0.5000 0.0000 0.0000 Ta
0.0000 0.0000 0.5000 Tc
0.5000 0.5000 0.5000 Pb
```

***

No. 7
Here is an optimized crystal structure of Ta2TcPb from Alexandria via LeMat-Bulk. Energies are from PBEsol.

**Raw total energy**: -9.7975 eV/atom
**Energy of formation**: 0.2943 eV per atom
**Space-group type**: Cmmm

Cell and atoms, written as POSCAR:
```
Ta2TcPb
1.0
1.6744 -2.4418 0.0000
1.6744 2.4418 0.0000
0.0000 0.0000 8.9543
Ta Tc Pb
2 1 1
Direct
0.0000 0.0000 0.2251 Ta
0.0000 0.0000 0.7749 Ta
0.5000 0.5000 0.0000 Tc
0.5000 0.5000 0.5000 Pb
```

***

No. 8
Here is an optimized crystal structure of TaTcPb2 from Alexandria via LeMat-Bulk. Energies are from PBEsol.

**Raw total energy**: -7.4813 eV/atom
**Energy of formation**: 0.4724 eV per atom
**Space-group type**: Cm

Cell and atoms, written as POSCAR:
```
TaTcPb2
1.0
5.2274 -1.6323 0.0000
5.2274 1.6323 0.0000
-1.9966 0.0000 4.9073
Ta Tc Pb
1 1 2
Direct
0.0000 0.0000 0.0000 Ta
0.6736 0.6736 0.2860 Tc
0.2267 0.2267 0.8100 Pb
0.4381 0.4381 0.4503 Pb
```